Entry 1:
The following is a PBE-GGA calculation of a geometry-optimized Cd2InPt structure, from Alexandria via LeMat-Bulk.

- space group = No. 99
- formation energy (eV per formula unit) = -0.7

Cell: 3.6679 3.6769 7.0203 Å, 58.43 90.00 90.00°
Last column: nearest neighbours and their distance in Å.
Positions (direct):
Pt1 0.5000 0.7611 0.7394  4 In 2.90, 6 Cd 2.98-3.02
Cd1 0.0000 0.0045 0.9951  1 In 2.81, 4 Cd 2.98, 4 Pt 3.01-3.02
Cd2 0.5000 0.2587 0.2408  2 Pt 2.98-3.00, 4 Cd 2.98, 4 In 3.10
In1 0.0000 0.4757 0.5247  5 Cd 2.81-3.10, 4 Pt 2.90


Entry 2:
The following is a PBE-GGA calculation of a geometry-optimized CdIn2Pt structure, from Alexandria via LeMat-Bulk.

- space group = No. 122
- formation energy (eV per formula unit) = -0.6

Cell: 8.7657 8.7657 6.7616 Å, 49.59 49.59 90.00°
Last column: nearest neighbours and their distance in Å.
Positions (direct):
Pt1 0.7500 0.2500 0.5000  4 In 2.70, 2 Cd 2.70
Pt2 0.0000 0.0000 0.0000  4 In 2.70, 2 Cd 2.70
In1 0.3750 0.2871 0.7500  2 Pt 2.70
In2 0.0371 0.6250 0.2500  2 Pt 2.70
In3 0.8750 0.9629 0.7500  2 Pt 2.70
In4 0.7129 0.1250 0.2500  2 Pt 2.70
Cd1 0.5000 0.5000 0.0000  2 Pt 2.70
Cd2 0.2500 0.7500 0.5000  2 Pt 2.70